# 1
Entry from the Alexandria database: an optimized crystal structure of TiBiF2 (PBE).

The structure in POSCAR format:
```
TiBiF2
1.0
4.918 0.000 0.000
0.000 4.918 0.000
2.459 2.459 6.225
F Bi Ti
4 2 2
Cartesian
2.470 1.230 1.556 F
2.449 3.689 1.556 F
3.689 4.908 4.669 F
6.148 4.929 4.669 F
0.000 0.000 0.000 Bi
4.918 2.459 3.113 Bi
2.459 2.459 0.000 Ti
2.459 4.918 3.113 Ti
```

Crystal system = tetragonal
ΔE to the lowest computed polymorph = 206 meV/atom
Volume = 18.82 A^3/atom

=====

# 2
Entry from the Alexandria database: an optimized crystal structure of Tm4H2S5 (PBE).

The structure in POSCAR format:
```
Tm4H2S5
1.0
3.870 0.000 0.000
0.000 7.745 0.079
-1.935 -2.286 9.046
Tm H S
4 2 5
Cartesian
1.935 3.489 3.111 Tm
1.935 3.636 8.459 Tm
0.000 1.970 6.014 Tm
0.000 1.823 0.667 Tm
1.935 2.458 1.281 H
0.000 3.001 7.845 H
0.000 4.599 1.705 S
1.935 0.860 7.420 S
0.000 1.590 3.399 S
1.935 0.000 0.000 S
1.935 3.869 5.726 S
```

Crystal system = monoclinic
Volume = 24.71 A^3/atom
VASP energy = -63.42 eV for the cell shown

=====

# 3
Entry from the Alexandria database: an optimized crystal structure of Zr5ZnRh4 (PBE).

The structure in POSCAR format:
```
Zr5ZnRh4
1.0
3.354 0.000 0.000
0.000 3.354 0.000
0.000 0.000 16.079
Zr Zn Rh
5 1 4
Cartesian
1.677 1.677 1.647 Zr
1.677 1.677 4.831 Zr
1.677 1.677 8.040 Zr
1.677 1.677 11.249 Zr
1.677 1.677 14.432 Zr
0.000 0.000 0.000 Zn
0.000 0.000 3.241 Rh
0.000 0.000 6.449 Rh
0.000 0.000 9.631 Rh
0.000 0.000 12.838 Rh
```

Crystal system = tetragonal
Volume = 18.09 A^3/atom
Energy of formation from the pure elements = -0.66 eV/atom

=====

What did we get for total moment? Answer: 0.205, 0.000, 0.000 μB per atom, in the order shown.